[1]
A plane-wave DFT calculation with PBE was carried out for an optimized crystal structure of SiAs2OsBr.

D(E_F) ... 4.00 states/eV/f.u.
Formation energy without anion corrections ... 1.99 eV per atom

Lattice parameters (Å, degrees): 5.0708 5.0708 4.5886 90.00 90.00 90.00
Space group P4/mmm (No. 123)
Inequivalent atoms, fractional coordinates:
Si1 0.0000 0.0000 0.0000 x1
As1 0.0000 0.5000 0.5000 x2
Os1 0.5000 0.5000 0.0000 x1
Br1 0.5000 0.5000 0.5000 x1

[2]
A plane-wave DFT calculation with PBE was carried out for an optimized crystal structure of SnAsOsBr2.

D(E_F) ... 3.81 states/eV/f.u.
Formation energy without anion corrections ... 0.49 eV per atom

Lattice parameters (Å, degrees): 5.2465 5.2465 4.7036 90.00 90.00 90.00
Space group P4/mmm (No. 123)
Inequivalent atoms, fractional coordinates:
Sn1 0.0000 0.0000 0.0000 x1
As1 0.5000 0.5000 0.0000 x1
Os1 0.5000 0.5000 0.5000 x1
Br1 0.0000 0.5000 0.5000 x2

[3]
A plane-wave DFT calculation with PBE was carried out for an optimized crystal structure of SrAsOsBr2.

D(E_F) ... 6.08 states/eV/f.u.
Formation energy without anion corrections ... 0.94 eV per atom

Lattice parameters (Å, degrees): 5.7492 5.7492 6.3327 90.00 90.00 90.00
Space group P4/mmm (No. 123)
Inequivalent atoms, fractional coordinates:
Sr1 0.0000 0.0000 0.0000 x1
As1 0.0000 0.0000 0.5000 x1
Os1 0.5000 0.5000 0.5000 x1
Br1 0.0000 0.5000 0.0000 x2

[4]
A plane-wave DFT calculation with PBE was carried out for an optimized crystal structure of SrAsOsBr2.

D(E_F) ... 2.31 states/eV/f.u.
Formation energy without anion corrections ... -0.27 eV per atom

Lattice parameters (Å, degrees): 5.3695 5.3695 4.6801 90.00 90.00 90.00
Space group P4/mmm (No. 123)
Inequivalent atoms, fractional coordinates:
Sr1 0.0000 0.0000 0.0000 x1
As1 0.5000 0.5000 0.0000 x1
Os1 0.5000 0.5000 0.5000 x1
Br1 0.0000 0.5000 0.5000 x2

[5]
A plane-wave DFT calculation with PBE was carried out for an optimized crystal structure of TaAsOsBr2.

D(E_F) ... 4.77 states/eV/f.u.
Formation energy without anion corrections ... 1.40 eV per atom

Lattice parameters (Å, degrees): 5.0759 5.0759 4.7083 90.00 90.00 90.00
Space group P4/mmm (No. 123)
Inequivalent atoms, fractional coordinates:
Ta1 0.0000 0.0000 0.0000 x1
As1 0.5000 0.5000 0.0000 x1
Os1 0.5000 0.5000 0.5000 x1
Br1 0.0000 0.5000 0.5000 x2

[6]
A plane-wave DFT calculation with PBE was carried out for an optimized crystal structure of TaAsOsBr2.

D(E_F) ... 6.15 states/eV/f.u.
Formation energy without anion corrections ... 1.33 eV per atom

Lattice parameters (Å, degrees): 5.0232 5.0232 5.1715 90.00 90.00 90.00
Space group P4/mmm (No. 123)
Inequivalent atoms, fractional coordinates:
Ta1 0.0000 0.0000 0.0000 x1
As1 0.0000 0.0000 0.5000 x1
Os1 0.5000 0.5000 0.5000 x1
Br1 0.0000 0.5000 0.0000 x2